Entry P
Below is an optimized crystal structure of Sm5Y3Tm3, with properties calculated at the PBE-GGA level.

abc: 11.197 11.197 3.453
angles: 90.00 90.00 120.00
Fractional coordinates of all 11 atoms:
Sm  0.000  0.662  0.000
Sm  0.333  0.667  0.000
Sm  0.338  0.338  0.000
Sm  0.662  0.000  0.000
Sm  0.667  0.333  0.000
Y  0.000  0.404  0.500
Y  0.404  0.000  0.500
Y  0.596  0.596  0.500
Tm  0.000  0.159  0.000
Tm  0.159  0.000  0.000
Tm  0.841  0.841  0.000

Values from the calculation:
ρ, g/cm³: 6.8
Symmetry: P-62m (189)
Fermi-level density of states, states/eV/f.u.: 17.211

Entry Q
Below is an optimized crystal structure of Sm5Y3Tm3, with properties calculated at the PBE-GGA level.

abc: 9.694 9.694 5.610
angles: 90.00 90.00 120.00
Fractional coordinates of all 11 atoms:
Sm  0.000  0.273  0.000
Sm  0.273  0.000  0.000
Sm  0.333  0.667  0.000
Sm  0.667  0.333  0.000
Sm  0.727  0.727  0.000
Y  0.000  0.464  0.500
Y  0.464  0.000  0.500
Y  0.536  0.536  0.500
Tm  0.000  0.633  0.000
Tm  0.367  0.367  0.000
Tm  0.633  0.000  0.000

Values from the calculation:
ρ, g/cm³: 5.5
Symmetry: P-62m (189)
Fermi-level density of states, states/eV/f.u.: 19.304

Most stable = entry P